5
Lattice="-0.293 -0.625 5.347 -3.080 -4.372 -0.680 4.415 -3.092 -0.120" Properties=species:S:1:pos:R:3 comment="ZnAs3I PBE-GGA relaxed" e_form_raw_ev_per_atom=1.35 mass_density_kg_m3=4420 pbc="T T T"
As 2.207 -1.546 -0.060
As -0.146 -0.313 2.673
As -1.540 -2.186 -0.340
I 0.000 0.000 0.000
Zn 0.521 -4.045 2.274